Arrangement w

This record from Alexandria via LeMat-Bulk describes an optimized crystal structure of InGeSb2Te. The functional is PBE-GGA.

Cell lengths 5.6093, 5.6093, 5.7309 Å; angles 90.00, 90.00, 90.00 degrees
With the nearest neighbours (Å) after each atom.
Positions (direct):
In1 0.0000 0.0000 0.0000  4 Sb 2.80, 2 Te 2.87
Ge1 0.5000 0.5000 0.5000  4 Te 3.97, 8 Sb 4.01
Sb1 0.0000 0.5000 0.0000  2 In 2.80
Sb2 0.5000 0.0000 0.0000  2 In 2.80
Te1 0.0000 0.0000 0.5000  2 In 2.87

Properties
Space group: P4/mmm
Volume in Å³/f.u.: 180.3



Arrangement x

This record from Alexandria via LeMat-Bulk describes an optimized crystal structure of InGeSb2Te. The functional is PBE-GGA.

Cell lengths 5.4116, 5.4116, 5.4975 Å; angles 90.00, 90.00, 90.00 degrees
With the nearest neighbours (Å) after each atom.
Positions (direct):
Sb1 0.5000 0.0000 0.0000  2 Ge 2.71
Te1 0.0000 0.0000 0.5000  2 Ge 2.75
In1 0.5000 0.5000 0.5000  4 Te 3.83, 8 Sb 3.86
Sb2 0.0000 0.5000 0.0000  2 Ge 2.71
Ge1 0.0000 0.0000 0.0000  4 Sb 2.71, 2 Te 2.75

Properties
Space group: P4/mmm
Volume in Å³/f.u.: 161.0



Stability ranking, top entry: arrangement x; the second entry is 402 meV/atom less favorable.



Arrangement w

This record from Alexandria via LeMat-Bulk describes an optimized crystal structure of InGeSbTe2. The functional is PBE-GGA.

Cell lengths 5.4947, 5.4947, 5.4178 Å; angles 90.00, 90.00, 90.00 degrees
With the nearest neighbours (Å) after each atom.
Positions (direct):
Te1 0.5000 0.0000 0.0000  2 Ge 2.75
Sb1 0.0000 0.0000 0.5000  2 Ge 2.71
In1 0.5000 0.5000 0.5000  8 Te 3.86, 4 Sb 3.89
Te2 0.0000 0.5000 0.0000  2 Ge 2.75
Ge1 0.0000 0.0000 0.0000  2 Sb 2.71, 4 Te 2.75

Properties
Space group: P4/mmm
Volume in Å³/f.u.: 163.6



Arrangement x

This record from Alexandria via LeMat-Bulk describes an optimized crystal structure of InGeSbTe2. The functional is PBE-GGA.

Cell lengths 5.6358, 5.6358, 5.5823 Å; angles 90.00, 90.00, 90.00 degrees
With the nearest neighbours (Å) after each atom.
Positions (direct):
Ge1 0.5000 0.5000 0.5000  8 Te 3.97, 4 Sb 3.99
Sb1 0.0000 0.0000 0.5000  2 In 2.79
Te1 0.0000 0.5000 0.0000  2 In 2.82
Te2 0.5000 0.0000 0.0000  2 In 2.82
In1 0.0000 0.0000 0.0000  2 Sb 2.79, 4 Te 2.82

Properties
Space group: P4/mmm
Volume in Å³/f.u.: 177.3



Stability ranking, top entry: arrangement w; the second entry is 389 meV/atom less favorable.



Arrangement w

This record from Alexandria via LeMat-Bulk describes an optimized crystal structure of ScInGe3. The functional is PBE-GGA.

Cell lengths 5.1673, 5.1673, 5.1673 Å; angles 90.00, 90.00, 90.00 degrees
With the nearest neighbours (Å) after each atom.
Positions (direct):
Ge1 0.0000 0.0000 0.5000  2 Sc 2.58
Ge2 0.0000 0.5000 0.0000  2 Sc 2.58
Sc1 0.0000 0.0000 0.0000  6 Ge 2.58
In1 0.5000 0.5000 0.5000  12 Ge 3.65
Ge3 0.5000 0.0000 0.0000  2 Sc 2.58

Properties
Space group: Pm-3m
Volume in Å³/f.u.: 138.0



Arrangement x

This record from Alexandria via LeMat-Bulk describes an optimized crystal structure of ScInGe3. The functional is PBE-GGA.

Cell lengths 5.1603, 5.1603, 5.1603 Å; angles 90.00, 90.00, 90.00 degrees
With the nearest neighbours (Å) after each atom.
Positions (direct):
Ge1 0.0000 0.0000 0.5000  2 In 2.58
Sc1 0.5000 0.5000 0.5000  12 Ge 3.65
Ge2 0.0000 0.5000 0.0000  2 In 2.58
Ge3 0.5000 0.0000 0.0000  2 In 2.58
In1 0.0000 0.0000 0.0000  6 Ge 2.58

Properties
Space group: Pm-3m
Volume in Å³/f.u.: 137.4



Stability ranking, top entry: arrangement w; the second entry is 380 meV/atom less favorable.



Arrangement w

This record from Alexandria via LeMat-Bulk describes an optimized crystal structure of ScInGe. The functional is PBE-GGA.

Cell lengths 7.3391, 7.3391, 8.3747 Å; angles 90.00, 90.00, 120.00 degrees
With the nearest neighbours (Å) after each atom.
Positions (direct):
Ge1 0.3333 0.6667 0.9990  3 Sc 2.73, 6 In 3.05
In1 0.5885 0.0010 0.7500  5 Ge 3.02-3.05, 6 Sc 3.16-3.39
Sc1 0.2664 0.0000 0.0000  4 Ge 2.73-2.86
In2 0.0010 0.5885 0.2500  5 Ge 3.02-3.05, 6 Sc 3.16-3.39
Ge2 0.0000 0.0000 0.7500  6 Sc 2.86, 3 In 3.02
Sc2 0.0000 0.2664 0.0000  4 Ge 2.73-2.86
In3 0.9990 0.5875 0.7500  5 Ge 3.02-3.05, 6 Sc 3.16-3.39
Ge3 0.3333 0.6667 0.5010  3 Sc 2.73, 6 In 3.05
Sc3 0.7336 0.7336 0.5000  4 Ge 2.73-2.86
In4 0.5875 0.9990 0.2500  5 Ge 3.02-3.05, 6 Sc 3.16-3.39
In5 0.4125 0.4115 0.7500  5 Ge 3.02-3.05, 6 Sc 3.16-3.39
Ge4 0.6667 0.3333 0.0010  3 Sc 2.73, 6 In 3.05
Sc4 0.7336 0.7336 0.0000  4 Ge 2.73-2.86
Sc5 0.0000 0.2664 0.5000  4 Ge 2.73-2.86
Ge5 0.6667 0.3333 0.4990  3 Sc 2.73, 6 In 3.05
In6 0.4115 0.4125 0.2500  5 Ge 3.02-3.05, 6 Sc 3.16-3.39
Ge6 0.0000 0.0000 0.2500  6 Sc 2.86, 3 In 3.02
Sc6 0.2664 0.0000 0.5000  4 Ge 2.73-2.86

Properties
Space group: P-62c
Volume in Å³/f.u.: 65.1



Arrangement x

This record from Alexandria via LeMat-Bulk describes an optimized crystal structure of ScInGe. The functional is PBE-GGA.

Cell lengths 4.3979, 4.3979, 8.6350 Å; angles 75.25, 75.25, 60.00 degrees
With the nearest neighbours (Å) after each atom.
Positions (direct):
Ge1 0.8495 0.8495 0.4516  3 Ge 2.66, 3 Sc 2.82
Sc1 0.5659 0.5659 0.3023  3 Ge 2.82, 3 In 3.11
Sc2 0.4341 0.4341 0.6977  3 Ge 2.82, 3 In 3.11
In1 0.6948 0.6948 0.9155  3 In 2.90, 4 Sc 3.11-3.19
In2 0.3052 0.3052 0.0845  3 In 2.90, 4 Sc 3.11-3.19
Ge2 0.1505 0.1505 0.5484  3 Ge 2.66, 3 Sc 2.82

Properties
Space group: R-3m
Volume in Å³/f.u.: 69.1



Stability ranking, top entry: arrangement w; the second entry is 113 meV/atom less favorable.



Arrangement w

This record from Alexandria via LeMat-Bulk describes an optimized crystal structure of ScIn3Ge. The functional is PBE-GGA.

Cell lengths 5.2940, 5.2940, 5.2940 Å; angles 90.00, 90.00, 90.00 degrees
With the nearest neighbours (Å) after each atom.
Positions (direct):
Sc1 0.5000 0.5000 0.5000  12 In 3.74
In1 0.0000 0.0000 0.5000  2 Ge 2.65
In2 0.0000 0.5000 0.0000  2 Ge 2.65
In3 0.5000 0.0000 0.0000  2 Ge 2.65
Ge1 0.0000 0.0000 0.0000  6 In 2.65

Properties
Space group: Pm-3m
Volume in Å³/f.u.: 148.4



Arrangement x

This record from Alexandria via LeMat-Bulk describes an optimized crystal structure of ScIn3Ge. The functional is PBE-GGA.

Cell lengths 5.5181, 5.5181, 5.5181 Å; angles 90.00, 90.00, 90.00 degrees
With the nearest neighbours (Å) after each atom.
Positions (direct):
In1 0.0000 0.0000 0.5000  2 Sc 2.76
Ge1 0.5000 0.5000 0.5000  12 In 3.90
Sc1 0.0000 0.0000 0.0000  6 In 2.76
In2 0.5000 0.0000 0.0000  2 Sc 2.76
In3 0.0000 0.5000 0.0000  2 Sc 2.76

Properties
Space group: Pm-3m
Volume in Å³/f.u.: 168.0



Stability ranking, top entry: arrangement w; the second entry is 215 meV/atom less favorable.



Arrangement w

This record from Alexandria via LeMat-Bulk describes an optimized crystal structure of In2GeSe. The functional is PBE-GGA.

Cell lengths 5.1250, 5.1250, 5.1250 Å; angles 60.00, 60.00, 60.00 degrees
With the nearest neighbours (Å) after each atom.
Positions (direct):
In1 0.2500 0.2500 0.2500  4 Se 3.14, 4 Ge 3.14
Se1 0.5000 0.5000 0.5000  8 In 3.14
In2 0.7500 0.7500 0.7500  4 Ge 3.14, 4 Se 3.14
Ge1 0.0000 0.0000 0.0000  8 In 3.14

Properties
Space group: Fm-3m
Volume in Å³/f.u.: 95.2



Arrangement x

This record from Alexandria via LeMat-Bulk describes an optimized crystal structure of In2GeSe. The functional is PBE-GGA.

Cell lengths 6.2345, 6.2345, 7.7242 Å; angles 66.20, 66.20, 90.00 degrees
With the nearest neighbours (Å) after each atom.
Positions (direct):
In1 0.8750 0.8540 0.7500  2 Ge 2.64, 2 Se 2.79
In2 0.6040 0.1250 0.2500  2 Ge 2.64, 2 Se 2.79
In3 0.1460 0.6250 0.2500  2 Ge 2.64, 2 Se 2.79
Se1 0.0000 0.0000 0.0000  4 In 2.79
Se2 0.7500 0.2500 0.5000  4 In 2.79
In4 0.3750 0.3960 0.7500  2 Ge 2.64, 2 Se 2.79
Ge1 0.2500 0.7500 0.5000  4 In 2.64
Ge2 0.5000 0.5000 0.0000  4 In 2.64

Properties
Space group: I-42d
Volume in Å³/f.u.: 123.3



Arrangement y

This record from Alexandria via LeMat-Bulk describes an optimized crystal structure of In2GeSe. The functional is PBE-GGA.

Cell lengths 4.2682, 4.2682, 8.2979 Å; angles 75.10, 75.10, 60.00 degrees
With the nearest neighbours (Å) after each atom.
Positions (direct):
In1 0.1069 0.1069 0.6794  1 Se 2.54, 3 Ge 2.84
Se1 0.0000 0.0000 0.0000  2 In 2.54
In2 0.8931 0.8931 0.3206  1 Se 2.54, 3 Ge 2.84
Ge1 0.5000 0.5000 0.5000  6 In 2.84

Properties
Space group: R-3m
Volume in Å³/f.u.: 125.0



Stability ranking, top entry: arrangement x; the second entry is 351 meV/atom less favorable.